A relaxed Ac6Ge2Sb3Te crystal. Source: Alexandria, functional PBE.

Cell lengths 10.5764, 10.5764, 9.5037 Å; angles 102.80, 102.80, 25.71 degrees
Positions (direct):
Ac  0.0058  0.0058  0.2588
Ac  0.3300  0.3300  0.4231
Ac  0.3303  0.3303  0.9047
Ac  0.6697  0.6697  0.0953
Ac  0.6700  0.6700  0.5769
Ac  0.9942  0.9942  0.7412
Ge  0.1662  0.1662  0.3319
Ge  0.8338  0.8338  0.6681
Sb  0.1625  0.1625  0.8337
Sb  0.5000  0.5000  0.5000
Sb  0.8375  0.8375  0.1663
Te  0.5000  0.5000  0.0000

- Symmetry: No. 12
- Crystal system: monoclinic
- E_form (uncorrected): -1084 meV/atom